First-principles (PBE) data for a relaxed Ba2AlCd2 crystal, as listed in Alexandria via LeMat-Bulk.

## Properties
E above lowest polymorph = 0.0 meV/atom
Volume = 34.70 A^3/atom
SG = C2/m
ΔE_f = -0.248 eV/atom

Cell: 5.0621 6.6805 11.3734 Å, 84.89 77.14 67.74°
With the nearest neighbours (Å) after each atom.
Atoms (fractional coordinates):
1 Cd 0.1534 0.2517 0.4415  3 Al 2.88-3.14
2 Cd 0.0031 0.1156 0.8782  1 Al 2.88, 1 Cd 3.05
3 Cd 0.9969 0.8844 0.1218  1 Al 2.88, 1 Cd 3.05
4 Cd 0.8466 0.7483 0.5585  3 Al 2.88-3.14
5 Ba 0.4835 0.6893 0.3436  7 Cd 3.50-3.86, 4 Al 3.58-3.66
6 Ba 0.2959 0.2910 0.1172  6 Cd 3.57-3.83, 2 Al 3.82
7 Ba 0.7041 0.7090 0.8828  6 Cd 3.57-3.83, 2 Al 3.82
8 Ba 0.5165 0.3107 0.6564  7 Cd 3.50-3.86, 4 Al 3.58-3.66
9 Al 0.2250 0.9019 0.6481  4 Cd 2.88-3.14
10 Al 0.7750 0.0981 0.3519  4 Cd 2.88-3.14

***

First-principles (PBE) data for a relaxed TbSm2Pb9 crystal, as listed in Alexandria via LeMat-Bulk.

## Properties
Volume = 29.43 A^3/atom
SG = P4/mmm
ΔE_f = -0.328 eV/atom

Cell: 4.9009 4.9009 14.7019 Å, 90.00 90.00 90.00°
With the nearest neighbours (Å) after each atom.
Atoms (fractional coordinates):
1 Pb 0.0000 0.5000 0.5000  8 Pb 3.47, 4 Sm 3.47
2 Pb 0.0000 0.5000 0.1650  2 Tb 3.45, 8 Pb 3.45-3.47, 2 Sm 3.48
3 Pb 0.5000 0.5000 0.0000  8 Pb 3.45, 4 Tb 3.47
4 Pb 0.5000 0.0000 0.1650  2 Tb 3.45, 8 Pb 3.45-3.47, 2 Sm 3.48
5 Pb 0.0000 0.5000 0.8350  2 Tb 3.45, 8 Pb 3.45-3.47, 2 Sm 3.48
6 Pb 0.5000 0.5000 0.6675  4 Sm 3.47, 8 Pb 3.47
7 Pb 0.5000 0.0000 0.5000  8 Pb 3.47, 4 Sm 3.47
8 Pb 0.5000 0.5000 0.3325  4 Sm 3.47, 8 Pb 3.47
9 Pb 0.5000 0.0000 0.8350  2 Tb 3.45, 8 Pb 3.45-3.47, 2 Sm 3.48
10 Sm 0.0000 0.0000 0.3328  12 Pb 3.47-3.48
11 Sm 0.0000 0.0000 0.6672  12 Pb 3.47-3.48
12 Tb 0.0000 0.0000 0.0000  12 Pb 3.45-3.47